No. 1
## BaMn3C (PBE)

Data for a geometry-optimized BaMn3C structure.

a b c (Å): 4.204 4.204 4.204
angles (deg): 90.00 90.00 90.00
Last column: magnetic moment on the atom in μB.
Atoms (fractional coordinates):
C 0.000 0.000 0.000  -0.20
Mn 0.000 0.500 0.000  2.60
Mn 0.000 0.000 0.500  2.56
Mn 0.500 0.000 0.000  2.20
Ba 0.500 0.500 0.500  -0.10

Output
DOS at the Fermi energy   0.41 states/eV per atom
Raw total energy   -0.258 hartree per atom
E_form   0.72 eV per atom
Relative energy among the computed polymorphs   0.000 kcal/mol of atoms

***

No. 2
## AlGa3Ag4 (PBE)

Data for a geometry-optimized AlGa3Ag4 structure.

a b c (Å): 2.944 5.321 9.454
angles (deg): 105.83 98.96 90.00
Atoms (fractional coordinates):
Ag 0.375 0.217 0.750
Ag 0.625 0.783 0.250
Ag 0.122 0.273 0.243
Ag 0.878 0.727 0.757
Al 0.500 0.000 0.000
Ga 0.000 0.500 0.000
Ga 0.750 0.257 0.500
Ga 0.250 0.743 0.500

Output
DOS at the Fermi energy   0.41 states/eV per atom
Raw total energy   -0.111 hartree per atom
E_form   0.00 eV per atom
Relative energy among the computed polymorphs   0.000 kcal/mol of atoms

***

No. 3
## K3BaOs (PBE)

Data for a geometry-optimized K3BaOs structure.

a b c (Å): 6.383 6.383 6.383
angles (deg): 90.00 90.00 90.00
Last column: magnetic moment on the atom in μB.
Atoms (fractional coordinates):
K 0.000 0.500 0.000  -0.01
K 0.000 0.000 0.500  -0.01
K 0.500 0.000 0.000  0.00
Os 0.000 0.000 0.000  1.91
Ba 0.500 0.500 0.500  -0.14

Output
DOS at the Fermi energy   0.63 states/eV per atom
Raw total energy   -0.078 hartree per atom
E_form   1.15 eV per atom
Relative energy among the computed polymorphs   0.000 kcal/mol of atoms

***

No. 4
## Li2MgAu5 (PBE)

Data for a geometry-optimized Li2MgAu5 structure.

a b c (Å): 4.175 5.673 11.404
angles (deg): 90.00 90.00 90.00
Atoms (fractional coordinates):
Li 0.500 0.295 0.364
Li 0.500 0.705 0.636
Li 0.500 0.205 0.864
Li 0.500 0.795 0.136
Mg 0.000 0.000 0.500
Mg 0.000 0.500 0.000
Au 0.500 0.286 0.114
Au 0.500 0.714 0.886
Au 0.500 0.786 0.386
Au 0.500 0.214 0.614
Au 0.000 0.960 0.746
Au 0.000 0.040 0.254
Au 0.000 0.460 0.754
Au 0.000 0.540 0.246
Au 0.000 0.500 0.500
Au 0.000 0.000 0.000

Output
DOS at the Fermi energy   0.25 states/eV per atom
Raw total energy   -0.117 hartree per atom
E_form   -0.47 eV per atom
Relative energy among the computed polymorphs   0.000 kcal/mol of atoms